No. 1
DFT (PBE-GGA) results for a relaxed LiNd2Hg crystal.

Calculated values
For the total magnetization, the calculation gives 0.4 μB per formula unit. The polymorph energy (0 for the lowest one) comes out at 0 meV/atom. As for the space-group type: P4/mmm (123). As for the crystal system: tetragonal.

Cell lengths 3.954, 5.292, 5.292 Å; angles 90.00, 90.00, 90.00 degrees
Each line ends with the local moment (μB).
Sites, in units of the cell vectors:
Nd  0.000  0.000  0.500  0.08
Nd  0.000  0.500  0.000  0.08
Li  0.500  0.000  0.000  0.00
Hg  0.500  0.500  0.500  0.01



No. 2
DFT (PBE-GGA) results for a relaxed AgTeS3 crystal.

Calculated values
For the total magnetization, the calculation gives 0.0 μB per formula unit. The raw formation energy is 0.13 eV/atom. The polymorph energy (0 for the lowest one) comes out at 29 meV/atom. As for the space-group type: R-3 (148). As for the crystal system: trigonal.

Cell lengths 6.567, 6.567, 7.444 Å; angles 63.83, 63.83, 60.00 degrees
Sites, in units of the cell vectors:
Te  0.833  0.833  0.502
Te  0.167  0.167  0.498
S  0.581  0.211  0.248
S  0.040  0.419  0.752
S  0.960  0.581  0.248
S  0.211  0.960  0.248
S  0.789  0.040  0.752
S  0.419  0.789  0.752
Ag  0.419  0.419  0.744
Ag  0.581  0.581  0.256



No. 3
DFT (PBE-GGA) results for a relaxed HfBeIr2 crystal.

Calculated values
For the total magnetization, the calculation gives 0.0 μB per formula unit. As for the space-group type: Immm (71). As for the energy: -7.98 eV/atom. As for the crystal system: orthorhombic.

Cell lengths 5.600, 5.600, 5.600 Å; angles 54.17, 150.69, 135.51 degrees
Sites, in units of the cell vectors:
Be  0.000  0.000  0.000
Hf  0.000  0.500  0.500
Ir  0.000  0.797  0.797
Ir  0.000  0.203  0.203



No. 4
DFT (PBE-GGA) results for a relaxed Ba2Cu2Ag crystal.

Calculated values
For the total magnetization, the calculation gives 0.0 μB per formula unit. The polymorph energy (0 for the lowest one) comes out at 0 meV/atom. As for the space-group type: P4/mbm (127). As for the crystal system: tetragonal.

Cell lengths 8.207, 8.207, 4.413 Å; angles 90.00, 90.00, 90.00 degrees
Sites, in units of the cell vectors:
Cu  0.893  0.607  0.000
Cu  0.393  0.893  0.000
Cu  0.107  0.393  0.000
Cu  0.607  0.107  0.000
Ag  0.000  0.000  0.000
Ag  0.500  0.500  0.000
Ba  0.185  0.685  0.500
Ba  0.815  0.315  0.500
Ba  0.315  0.185  0.500
Ba  0.685  0.815  0.500



No. 5
DFT (PBE-GGA) results for a relaxed NpTiMoW crystal.

Calculated values
For the total magnetization, the calculation gives 2.5 μB per formula unit. As for the space-group type: F-43m (216). As for the energy: -10.83 eV/atom. As for the crystal system: cubic.

Cell lengths 4.607, 4.607, 4.607 Å; angles 60.00, 60.00, 60.00 degrees
Each line ends with the local moment (μB).
Sites, in units of the cell vectors:
Ti  0.250  0.250  0.250  0.01
Np  0.000  0.000  0.000  2.85
W  0.750  0.750  0.750  -0.04
Mo  0.500  0.500  0.500  -0.33



No. 6
DFT (PBE-GGA) results for a relaxed Nd3HoHg6 crystal.

Calculated values
For the total magnetization, the calculation gives 0.0 μB per formula unit. As for the space-group type: P2_1/m (11). As for the energy: -2.50 eV/atom. As for the crystal system: monoclinic.

Cell lengths 5.213, 9.433, 11.288 Å; angles 106.38, 90.00, 90.00 degrees
Sites, in units of the cell vectors:
Hg  0.250  0.465  0.085
Hg  0.750  0.940  0.116
Hg  0.250  0.853  0.311
Hg  0.750  0.857  0.813
Hg  0.250  0.668  0.698
Hg  0.750  0.147  0.689
Hg  0.250  0.060  0.884
Hg  0.750  0.768  0.503
Hg  0.750  0.332  0.302
Hg  0.250  0.143  0.187
Hg  0.250  0.232  0.497
Hg  0.750  0.535  0.915
Nd  0.250  0.353  0.787
Nd  0.750  0.226  0.009
Nd  0.750  0.489  0.615
Nd  0.250  0.511  0.385
Nd  0.250  0.774  0.991
Nd  0.750  0.647  0.213
Ho  0.750  0.059  0.397
Ho  0.250  0.941  0.603



No. 7
DFT (PBE-GGA) results for a relaxed NiGeTeN2 crystal.

Calculated values
For the total magnetization, the calculation gives 0.8 μB per formula unit. The raw formation energy is 1.24 eV/atom. The polymorph energy (0 for the lowest one) comes out at 0 meV/atom. As for the space-group type: P4/mmm (123). As for the crystal system: tetragonal.

Cell lengths 3.636, 3.636, 7.205 Å; angles 90.00, 90.00, 90.00 degrees
Each line ends with the local moment (μB).
Sites, in units of the cell vectors:
Ge  0.000  0.000  0.000  -0.01
Ni  0.500  0.500  0.500  0.40
N  0.000  0.500  0.000  0.09
N  0.500  0.000  0.000  0.09
Te  0.000  0.000  0.500  0.10



No. 8
DFT (PBE-GGA) results for a relaxed Li2W crystal.

Calculated values
For the total magnetization, the calculation gives 0.0 μB per formula unit. The polymorph energy (0 for the lowest one) comes out at 208 meV/atom. As for the space-group type: P6_3/mmc (194). As for the crystal system: hexagonal.

Cell lengths 4.611, 4.611, 8.871 Å; angles 90.00, 90.00, 120.00 degrees
Sites, in units of the cell vectors:
W  0.667  0.333  0.539
W  0.333  0.667  0.461
W  0.333  0.667  0.039
W  0.667  0.333  0.961
Li  0.828  0.656  0.250
Li  0.172  0.344  0.750
Li  0.172  0.828  0.750
Li  0.828  0.172  0.250
Li  0.656  0.828  0.750
Li  0.000  0.000  0.500
Li  0.000  0.000  0.000
Li  0.344  0.172  0.250



No. 9
DFT (PBE-GGA) results for a relaxed DyZrCd2 crystal.

Calculated values
For the total magnetization, the calculation gives 0.0 μB per formula unit. The polymorph energy (0 for the lowest one) comes out at 0 meV/atom. As for the space-group type: P4/mmm (123). As for the crystal system: tetragonal.

Cell lengths 3.639, 3.639, 7.211 Å; angles 90.00, 90.00, 90.00 degrees
Sites, in units of the cell vectors:
Dy  0.500  0.500  0.500
Cd  0.000  0.000  0.768
Cd  0.000  0.000  0.232
Zr  0.500  0.500  0.000



No. 10
DFT (PBE-GGA) results for a relaxed PbBr2 crystal.

Calculated values
For the total magnetization, the calculation gives 0.0 μB per formula unit. The raw formation energy is -0.87 eV/atom. As for the space-group type: Fm-3m (225). As for the crystal system: cubic.

Cell lengths 5.245, 5.245, 5.245 Å; angles 60.00, 60.00, 60.00 degrees
Sites, in units of the cell vectors:
Br  0.750  0.750  0.750
Br  0.250  0.250  0.250
Pb  0.000  0.000  0.000



No. 11
DFT (PBE-GGA) results for a relaxed Pr12HoAl3 crystal.

Calculated values
For the total magnetization, the calculation gives 0.0 μB per formula unit. As for the space-group type: P4/mmm (123). As for the energy: -4.68 eV/atom. As for the crystal system: tetragonal.

Cell lengths 4.976, 4.976, 20.235 Å; angles 90.00, 90.00, 90.00 degrees
Sites, in units of the cell vectors:
Al  0.000  0.000  0.743
Al  0.000  0.000  0.257
Al  0.000  0.000  0.500
Pr  0.500  0.500  0.743
Pr  0.000  0.500  0.866
Pr  0.500  0.500  0.257
Pr  0.500  0.000  0.378
Pr  0.500  0.000  0.622
Pr  0.000  0.500  0.378
Pr  0.000  0.500  0.134
Pr  0.000  0.500  0.622
Pr  0.500  0.000  0.866
Pr  0.500  0.500  0.500
Pr  0.500  0.500  0.000
Pr  0.500  0.000  0.134
Ho  0.000  0.000  0.000



No. 12
DFT (PBE-GGA) results for a relaxed Cs2Np2PbO7 crystal.

Calculated values
For the total magnetization, the calculation gives 4.0 μB per formula unit. The raw formation energy is -2.34 eV/atom. As for the space-group type: I4/mmm (139). As for the crystal system: tetragonal.

Cell lengths 4.393, 4.393, 12.296 Å; angles 79.72, 79.72, 90.00 degrees
Each line ends with the local moment (μB).
Sites, in units of the cell vectors:
Cs  0.810  0.810  0.380  0.00
Cs  0.190  0.190  0.620  0.00
O  0.581  0.081  0.837  -0.07
O  0.081  0.581  0.837  -0.07
O  0.919  0.419  0.163  -0.07
O  0.419  0.919  0.163  -0.07
O  0.672  0.672  0.656  -0.08
O  0.328  0.328  0.344  -0.08
O  0.500  0.500  0.000  -0.08
Np  0.589  0.589  0.822  2.20
Np  0.411  0.411  0.178  2.20
Pb  0.000  0.000  0.000  0.02